# PmUC

A relaxed structure of PmUC (PBE, the Alexandria database).

Cell lengths 3.4337, 3.4337, 6.3576 Å; angles 90.00, 90.00, 120.00 degrees
Atoms (fractional coordinates):
Pm  0.0000  0.0000  0.0000
U  0.3333  0.6667  0.5410
C  0.6667  0.3333  0.7395

Properties
**Total magnetic moment**: 2.20 Bohr magnetons per cell
**Space group**: No. 156

***

# PmU2C3

A relaxed structure of PmU2C3 (PBE, the Alexandria database).

Cell lengths 5.7773, 5.7773, 3.3990 Å; angles 90.00, 90.00, 120.00 degrees
Atoms (fractional coordinates):
Pm  0.0000  0.0000  0.0000
U  0.3333  0.6667  0.5000
U  0.6667  0.3333  0.5000
C  0.0000  0.5000  0.0000
C  0.5000  0.0000  0.0000
C  0.5000  0.5000  0.0000

Properties
**Total magnetic moment**: 0.00 Bohr magnetons per cell
**Space group**: No. 191

***

# PmUC

A relaxed structure of PmUC (PBE, the Alexandria database).

Cell lengths 7.0777, 7.0777, 7.0777 Å; angles 153.54, 153.54, 37.77 degrees
Atoms (fractional coordinates):
Pm  0.0000  0.0000  0.0000
U  0.7216  0.7216  0.0000
C  0.1822  0.1822  0.0000

Properties
**Total magnetic moment**: 1.58 Bohr magnetons per cell
**Space group**: No. 107

***

# PmUC

A relaxed structure of PmUC (PBE, the Alexandria database).

Cell lengths 3.3301, 6.0402, 6.0402 Å; angles 30.88, 90.00, 90.00 degrees
Atoms (fractional coordinates):
Pm  0.0000  0.0000  0.0000
U  0.5000  0.2453  0.2453
C  0.0000  0.6913  0.6913

Properties
**Total magnetic moment**: 1.48 Bohr magnetons per cell
**Space group**: No. 38

***

# Pm5UC4

A relaxed structure of Pm5UC4 (PBE, the Alexandria database).

Cell lengths 8.2625, 8.2625, 7.4218 Å; angles 101.72, 101.72, 25.50 degrees
Atoms (fractional coordinates):
Pm  0.0000  0.0000  0.0000
Pm  0.3346  0.3346  0.6536
Pm  0.3426  0.3426  0.1918
Pm  0.6574  0.6574  0.8082
Pm  0.6654  0.6654  0.3464
U  0.0000  0.0000  0.5000
C  0.1529  0.1529  0.5735
C  0.4996  0.4996  0.2852
C  0.5004  0.5004  0.7148
C  0.8471  0.8471  0.4265

Properties
**Total magnetic moment**: 0.00 Bohr magnetons per cell
**Space group**: No. 12

***

# PmVC

A relaxed structure of PmVC (PBE, the Alexandria database).

Cell lengths 3.5855, 3.5855, 4.4958 Å; angles 90.00, 90.00, 120.00 degrees
Atoms (fractional coordinates):
Pm  0.0000  0.0000  0.0000
V  0.3333  0.6667  0.4994
C  0.6667  0.3333  0.4982

Properties
**Total magnetic moment**: 1.97 Bohr magnetons per cell
**Space group**: No. 156

***

# Pm2V2C3

A relaxed structure of Pm2V2C3 (PBE, the Alexandria database).

Cell lengths 6.2017, 6.2017, 5.7620 Å; angles 114.77, 114.77, 31.98 degrees
Atoms (fractional coordinates):
Pm  0.1029  0.1029  0.3174
Pm  0.8971  0.8971  0.6826
V  0.3362  0.3362  0.1800
V  0.6638  0.6638  0.8200
C  0.2511  0.2511  0.7877
C  0.5000  0.5000  0.5000
C  0.7489  0.7489  0.2123

Properties
**Total magnetic moment**: 1.03 Bohr magnetons per cell
**Space group**: No. 12

***

# PmVC

A relaxed structure of PmVC (PBE, the Alexandria database).

Cell lengths 4.9638, 4.9638, 6.2233 Å; angles 100.81, 100.81, 40.42 degrees
Atoms (fractional coordinates):
Pm  0.1125  0.1125  0.3374
Pm  0.8875  0.8875  0.6626
V  0.3586  0.3586  0.0743
V  0.6414  0.6414  0.9257
C  0.1996  0.1996  0.7887
C  0.8004  0.8004  0.2113

Properties
**Total magnetic moment**: 0.00 Bohr magnetons per cell
**Space group**: No. 12

***

These records have ΔE_f values of 75 26 312 230 -115 164 -288 -125 meV/atom, in the order they appear.
These records have calculated total energy values of -8.346 -9.140 -8.109 -8.191 -7.309 -7.533 -8.203 -7.823 eV/atom, in the order they appear.